(1)
DFT (PBE) results for TmAs2PbO8 after structural relaxation.

symmetry = P-3m1 (164)
raw formation energy = -1.6332 eV per atom
E = -6.395 eV/atom
total moment = 1.00 μB per cell

abc: 5.660 5.660 7.302
angles: 90.00 90.00 120.00
Positions (direct):
Tm 0.000 0.000 0.000
As 0.333 0.667 0.274
As 0.667 0.333 0.726
Pb 0.000 0.000 0.500
O 0.167 0.335 0.201
O 0.167 0.833 0.201
O 0.333 0.667 0.510
O 0.335 0.167 0.799
O 0.665 0.833 0.201
O 0.667 0.333 0.490
O 0.833 0.167 0.799
O 0.833 0.665 0.799

=====

(2)
DFT (PBE) results for Ca2InH after structural relaxation.

symmetry = P4/mmm (123)
E = -2.676 eV/atom
total moment = 0.00 μB per cell

abc: 3.401 3.401 7.962
angles: 90.00 90.00 90.00
Positions (direct):
Ca 0.000 0.000 0.216
Ca 0.000 0.000 0.784
In 0.500 0.500 0.500
H 0.500 0.500 0.000

=====

(3)
DFT (PBE) results for AsPd6Pb after structural relaxation.

symmetry = P4/mmm (123)
energy of formation from the pure elements = -0.229 eV per atom
E = -5.168 eV/atom
total moment = 0.00 μB per cell

abc: 4.056 4.056 7.996
angles: 90.00 90.00 90.00
Positions (direct):
As 0.000 0.000 0.000
Pd 0.000 0.500 0.237
Pd 0.000 0.500 0.763
Pd 0.500 0.000 0.237
Pd 0.500 0.000 0.763
Pd 0.500 0.500 0.000
Pd 0.500 0.500 0.500
Pb 0.000 0.000 0.500

=====

> Which formula does entry 2 have?

Ca2InH

=====

Copy entry 2 word for word.
DFT (PBE) results for Ca2InH after structural relaxation.

symmetry = P4/mmm (123)
E = -2.676 eV/atom
total moment = 0.00 μB per cell

abc: 3.401 3.401 7.962
angles: 90.00 90.00 90.00
Positions (direct):
Ca 0.000 0.000 0.216
Ca 0.000 0.000 0.784
In 0.500 0.500 0.500
H 0.500 0.500 0.000